This record from Alexandria via LeMat-Bulk describes a relaxed structure of Ce2PmPd. The functional is PBE.

abc: 5.1909 5.1909 13.0571
angles: 90.00 90.00 120.00
With the nearest neighbours (Å) after each atom.
Atoms (fractional coordinates):
Ce  0.0000  0.0000  0.2491  4 Pd 3.18-3.28, 4 Pm 3.19-3.25
Ce  0.0000  0.0000  0.7509  4 Pd 3.18-3.28, 4 Pm 3.19-3.25
Ce  0.3333  0.6667  0.4176  4 Pd 3.18-3.28, 4 Pm 3.19-3.25
Ce  0.3333  0.6667  0.9158  4 Pd 3.18-3.28, 4 Pm 3.19-3.25
Ce  0.6667  0.3333  0.0842  4 Pd 3.18-3.28, 4 Pm 3.19-3.25
Ce  0.6667  0.3333  0.5824  4 Pd 3.18-3.28, 4 Pm 3.19-3.25
Pm  0.0000  0.0000  0.0000  8 Ce 3.19-3.25
Pm  0.3333  0.6667  0.6667  8 Ce 3.19-3.25
Pm  0.6667  0.3333  0.3333  8 Ce 3.19-3.25
Pd  0.0000  0.0000  0.5000  8 Ce 3.18-3.28
Pd  0.3333  0.6667  0.1667  8 Ce 3.18-3.28
Pd  0.6667  0.3333  0.8333  8 Ce 3.18-3.28

Output
Distance to the lowest polymorph of the same formula = 0.192 eV per atom
Magnetization = 2.54 μB/f.u.
Crystal system = trigonal